(1)
Material: Ni2RuW
Method: DFT, PBE
State: optimized geometry

Values from the calculation:
D(E_F): 1.08 states/eV per atom
V: 13.74 A^3/atom
Calculated formation energy: 0.232 eV/atom
DFT total energy: -8.216 eV per atom
Mass density: 12.16 Mg/m³

Cell lengths 4.3563, 7.5265, 6.7048 Å; angles 90.00, 90.00, 90.00 degrees
Last column: nearest neighbours and their distance in Å.
Space group Cmcm (No. 63)
Unique sites:
Ni 0.0000 0.2490 0.0785 (multiplicity 8)  3 Ni 2.30-2.42, 1 W 2.53, 1 Ru 2.55
Ru 0.0000 0.4201 0.7500 (multiplicity 4)  3 W 2.50-2.54, 8 Ni 2.55-2.77
W 0.0000 0.0823 0.7500 (multiplicity 4)  3 Ru 2.50-2.54, 8 Ni 2.53-2.77

***

(2)
Material: NiRuW2
Method: DFT, PBE
State: optimized geometry

Values from the calculation:
D(E_F): 1.18 states/eV per atom
V: 15.78 A^3/atom
Calculated formation energy: 0.732 eV/atom
DFT total energy: -9.508 eV per atom
Mass density: 13.87 Mg/m³

Cell lengths 3.8050, 3.8050, 17.4429 Å; angles 90.00, 90.00, 90.00 degrees
Last column: nearest neighbours and their distance in Å.
Space group I-42d (No. 122)
Unique sites:
Ni 0.0000 0.0000 0.0000 (multiplicity 4)  4 W 2.54, 4 Ru 2.69
Ru 0.0000 0.0000 0.5000 (multiplicity 4)  4 W 2.58, 4 Ni 2.69
W 0.2356 0.2500 0.1250 (multiplicity 8)  2 Ni 2.54, 2 Ru 2.58, 4 W 2.61-2.77

***

(3)
Material: NiRu2W
Method: DFT, PBE
State: optimized geometry

Values from the calculation:
D(E_F): 1.09 states/eV per atom
V: 13.76 A^3/atom
Calculated formation energy: 0.023 eV/atom
DFT total energy: -9.298 eV per atom
Mass density: 13.42 Mg/m³

Cell lengths 3.7676, 3.7676, 7.7534 Å; angles 90.00, 90.00, 90.00 degrees
Last column: nearest neighbours and their distance in Å.
Space group I-4m2 (No. 119)
Unique sites:
Ni 0.0000 0.0000 0.0000 (multiplicity 2)  8 Ru 2.66-2.70, 4 W 2.70
Ru 0.0000 0.0000 0.5000 (multiplicity 2)  4 Ni 2.66, 4 W 2.70, 4 Ru 2.70
Ru 0.0000 0.5000 0.2500 (multiplicity 2)  4 W 2.66, 4 Ru 2.70, 4 Ni 2.70
W 0.0000 0.5000 0.7500 (multiplicity 2)  8 Ru 2.66-2.70, 4 Ni 2.70

***

(4)
Material: NiRuW2
Method: DFT, PBE
State: optimized geometry

Values from the calculation:
D(E_F): 0.72 states/eV per atom
V: 14.35 A^3/atom
Calculated formation energy: 0.040 eV/atom
DFT total energy: -10.201 eV per atom
Mass density: 15.26 Mg/m³

Cell lengths 5.4235, 7.6142, 2.7797 Å; angles 90.00, 90.00, 90.00 degrees
Last column: nearest neighbours and their distance in Å.
Space group Cmmm (No. 65)
Unique sites:
Ni 0.0000 0.0000 0.0000 (multiplicity 2)  2 Ru 2.71, 8 W 2.72, 2 Ni 2.78
Ru 0.0000 0.5000 0.0000 (multiplicity 2)  2 Ni 2.71, 8 W 2.72, 2 Ru 2.78
W 0.2500 0.2500 0.5000 (multiplicity 4)  4 W 2.71-2.78, 4 Ru 2.72, 4 Ni 2.72

***

(5)
Material: NiRu2W
Method: DFT, PBE
State: optimized geometry

Values from the calculation:
D(E_F): 1.04 states/eV per atom
V: 15.06 A^3/atom
Calculated formation energy: 0.570 eV/atom
DFT total energy: -8.752 eV per atom
Mass density: 12.25 Mg/m³

Cell lengths 3.7206, 3.7206, 17.4113 Å; angles 90.00, 90.00, 90.00 degrees
Last column: nearest neighbours and their distance in Å.
Space group I-42d (No. 122)
Unique sites:
Ni 0.0000 0.0000 0.0000 (multiplicity 4)  4 Ru 2.49, 4 W 2.63
Ru 0.2095 0.2500 0.1250 (multiplicity 8)  2 Ru 2.43, 2 Ni 2.49, 2 W 2.60
W 0.0000 0.0000 0.5000 (multiplicity 4)  4 Ru 2.60, 4 Ni 2.63

***

(6)
Material: NiRuW2
Method: DFT, PBE
State: optimized geometry

Values from the calculation:
D(E_F): 0.51 states/eV per atom
V: 14.28 A^3/atom
Calculated formation energy: 0.006 eV/atom
DFT total energy: -10.235 eV per atom
Mass density: 15.34 Mg/m³

Cell lengths 3.8521, 3.8521, 7.6970 Å; angles 90.00, 90.00, 90.00 degrees
Last column: nearest neighbours and their distance in Å.
Space group I4/mmm (No. 139)
Unique sites:
Ni 0.0000 0.0000 0.0000 (multiplicity 2)  8 W 2.72, 4 Ru 2.72
Ru 0.0000 0.0000 0.5000 (multiplicity 2)  8 W 2.72, 4 Ni 2.72
W 0.0000 0.5000 0.2500 (multiplicity 4)  4 Ru 2.72, 4 Ni 2.72, 4 W 2.72

***

(7)
Material: NiRuW2
Method: DFT, PBE
State: optimized geometry

Values from the calculation:
D(E_F): 1.07 states/eV per atom
V: 14.68 A^3/atom
Calculated formation energy: 0.227 eV/atom
DFT total energy: -10.014 eV per atom
Mass density: 14.92 Mg/m³

Cell lengths 2.7495, 2.7495, 26.9005 Å; angles 90.00, 90.00, 120.00 degrees
Last column: nearest neighbours and their distance in Å.
Space group R3m (No. 160, hexagonal axes)
Unique sites:
Ni 0.0000 0.0000 0.0000 (multiplicity 3)  3 W 2.64, 3 Ru 2.70, 6 Ni 2.75
Ru 0.0000 0.0000 0.7479 (multiplicity 3)  3 W 2.69, 3 Ni 2.70, 6 Ru 2.75
W 0.0000 0.0000 0.2549 (multiplicity 3)  3 Ni 2.64, 6 W 2.75
W 0.0000 0.0000 0.4950 (multiplicity 3)  3 Ru 2.69, 9 W 2.75-2.97

***

(8)
Material: NiRuW
Method: DFT, PBE
State: optimized geometry

Values from the calculation:
D(E_F): 1.18 states/eV per atom
Excess energy over the best structure of this formula in the dataset: 96 meV per atom
V: 13.88 A^3/atom
Calculated formation energy: 0.116 eV/atom
DFT total energy: -9.221 eV per atom
Mass density: 13.71 Mg/m³

Cell lengths 8.3447, 4.4539, 5.3602 Å; angles 90.00, 123.29, 90.00 degrees
Last column: nearest neighbours and their distance in Å.
Space group C2/m (No. 12)
Unique sites:
Ni 0.1613 0.0000 0.2299 (multiplicity 4)  1 Ni 2.46, 4 W 2.57-2.68, 4 Ru 2.66-2.71
Ru 0.0077 0.5000 0.7534 (multiplicity 4)  4 W 2.54-2.74, 2 Ru 2.65-2.72, 4 Ni 2.66-2.71
W 0.1759 0.0000 0.7427 (multiplicity 4)  4 Ru 2.54-2.74, 4 Ni 2.57-2.68, 1 W 2.65